Here is a geometry-optimized Na2ReH6 structure from Alexandria. Energies are from PBE-GGA.

a b c (Å): 4.795 4.795 9.757
angles (deg): 90.00 90.00 90.00
Element x y z (fractional)
Na  0.000  0.000  0.163
Na  0.000  0.000  0.837
Na  0.500  0.500  0.337
Na  0.500  0.500  0.663
Re  0.000  0.000  0.500
Re  0.500  0.500  0.000
H  0.174  0.174  0.365
H  0.174  0.174  0.635
H  0.239  0.239  0.000
H  0.261  0.739  0.500
H  0.326  0.674  0.135
H  0.326  0.674  0.865
H  0.674  0.326  0.135
H  0.674  0.326  0.865
H  0.739  0.261  0.500
H  0.761  0.761  0.000
H  0.826  0.826  0.365
H  0.826  0.826  0.635

Summary:
Its energy above the most stable polymorph in this dataset is 28 meV/atom. The calculation puts the calculated volume at 224.3 Å³/cell.